# LiZnAs2W

LiZnAs2W after structural relaxation (PBE, Alexandria).

Cell lengths 4.3366, 4.3366, 4.5526 Å; angles 90.00, 90.00, 90.00 degrees
Last column: nearest neighbours and their distance in Å.
Sites, in units of the cell vectors:
Li 0.0000 0.0000 0.0000  4 As 2.17, 2 W 2.28
Zn 0.5000 0.5000 0.5000  4 W 3.07, 8 As 3.14
As 0.0000 0.5000 0.0000  2 Li 2.17
As 0.5000 0.0000 0.0000  2 Li 2.17
W 0.0000 0.0000 0.5000  2 Li 2.28

Summary:
formation enthalpy at 0 K = 1057 meV per atom